[1]
Here is a geometry-optimized TbEr4Tm structure from Alexandria. Energies are from GGA-PBE.

Output
**E above lowest polymorph**: 0.075 eV per atom
**Space group**: No. 15
**Total moment**: 0.0 μB/f.u.
**Uncorrected energy**: -52.9 eV for the cell shown

Cell lengths 6.352, 8.809, 8.458 Å; angles 112.26, 100.30, 112.20 degrees
Fractional coordinates of all 12 atoms:
Tb  0.336  0.586  0.172
Er  0.638  0.102  0.391
Tm  0.750  0.000  0.999
Er  0.046  0.167  0.743
Er  0.954  0.833  0.257
Er  0.803  0.424  0.257
Er  0.362  0.898  0.609
Er  0.197  0.576  0.743
Tm  0.250  0.000  0.001
Tb  0.664  0.414  0.828
Er  0.746  0.710  0.609
Er  0.254  0.290  0.391


[2]
Here is a geometry-optimized SmDyEr6 structure from Alexandria. Energies are from GGA-PBE.

Output
**E above lowest polymorph**: 0.415 eV per atom
**Space group**: No. 2
**Total moment**: 0.0 μB/f.u.
**Uncorrected energy**: -30.4 eV for the cell shown

Cell lengths 6.548, 6.589, 8.113 Å; angles 65.93, 66.20, 60.13 degrees
Fractional coordinates of all 8 atoms:
Er  0.049  0.450  0.747
Er  0.447  0.752  0.748
Er  0.553  0.248  0.252
Er  0.951  0.550  0.253
Er  0.749  0.050  0.749
Dy  0.000  0.000  0.000
Sm  0.500  0.500  0.500
Er  0.251  0.950  0.251


[3]
Here is a geometry-optimized CoTcNi2 structure from Alexandria. Energies are from GGA-PBE.

Output
**E above lowest polymorph**: 0.204 eV per atom
**Space group**: No. 123
**Total moment**: 3.2 μB/f.u.
**Uncorrected energy**: -28.1 eV for the cell shown

Cell lengths 4.367, 4.367, 2.554 Å; angles 90.00, 90.00, 90.00 degrees
Fractional coordinates of all 4 atoms:
Ni  0.000  0.000  0.000
Co  0.000  0.500  0.500
Tc  0.500  0.000  0.500
Ni  0.500  0.500  0.000


Number 1: DFT formation energy 88 kJ/mol of formula units. Number 2: DFT formation energy 610 kJ/mol of formula units. Number 3: DFT formation energy 92 kJ/mol of formula units.